## Pm4Pr (GGA-PBE)

Data for Pm4Pr after structural relaxation.

Results
**Excess energy over the best structure of this formula in the dataset**: 0.0056 eV/atom
**E_tot**: -0.1742 hartree per atom
**ΔE_f**: 16 meV/atom
**SG**: I4/mmm (139)

a b c (Å): 13.219 13.219 13.219
angles (deg): 164.06 164.06 22.62
Sites, in units of the cell vectors:
Pm1 0.101 0.101 0.000
Pm2 0.300 0.300 0.000
Pm3 0.700 0.700 0.000
Pm4 0.899 0.899 0.000
Pr1 0.500 0.500 0.000


## PmPr2 (GGA-PBE)

Data for PmPr2 after structural relaxation.

Results
**Excess energy over the best structure of this formula in the dataset**: 0.0870 eV/atom
**E_tot**: -0.1715 hartree per atom
**ΔE_f**: 102 meV/atom
**SG**: Fmmm (69)

a b c (Å): 6.415 6.412 4.352
angles (deg): 70.20 70.13 39.67
Sites, in units of the cell vectors:
Pm1 0.000 0.000 0.000
Pr1 0.337 0.337 0.663
Pr2 0.663 0.663 0.337


## Pm7Pr5 (GGA-PBE)

Data for Pm7Pr5 after structural relaxation.

Results
**Excess energy over the best structure of this formula in the dataset**: 0.0000 eV/atom
**E_tot**: -0.1748 hartree per atom
**ΔE_f**: 5 meV/atom
**SG**: C2/m (12)

a b c (Å): 9.775 9.775 13.517
angles (deg): 117.72 117.72 21.79
Sites, in units of the cell vectors:
Pm1 0.000 0.000 0.000
Pm2 0.139 0.139 0.749
Pm3 0.166 0.166 0.499
Pm4 0.473 0.473 0.750
Pm5 0.527 0.527 0.250
Pm6 0.834 0.834 0.501
Pm7 0.861 0.861 0.251
Pr1 0.194 0.194 0.251
Pr2 0.334 0.334 0.002
Pr3 0.500 0.500 0.500
Pr4 0.666 0.666 0.998
Pr5 0.806 0.806 0.749


## Pm3Pr7 (GGA-PBE)

Data for Pm3Pr7 after structural relaxation.

Results
**Excess energy over the best structure of this formula in the dataset**: 0.0000 eV/atom
**E_tot**: -0.1750 hartree per atom
**ΔE_f**: 10 meV/atom
**SG**: C2/m (12)

a b c (Å): 9.790 9.790 7.386
angles (deg): 100.98 100.98 30.90
Sites, in units of the cell vectors:
Pm1 0.000 0.000 0.000
Pm2 0.200 0.200 0.600
Pm3 0.800 0.800 0.400
Pr1 0.000 0.000 0.500
Pr2 0.200 0.200 0.101
Pr3 0.399 0.399 0.699
Pr4 0.400 0.400 0.200
Pr5 0.600 0.600 0.800
Pr6 0.601 0.601 0.301
Pr7 0.800 0.800 0.899


Q: Among the records above, which one has the lowest E_tot?
A: Pm3Pr7